1.
A geometry-optimized TaTi2V structure. Source: Alexandria via LeMat-Bulk, functional GGA-PBE.

POSCAR file:
```
TaTi2V
1.0
-3.657 5.413 -2.674
-2.727 -4.270 -4.915
-5.259 -0.009 -2.143
Ti Ta V
4 2 2
Cartesian
-3.872 2.745 -2.771
-3.545 -1.892 -3.993
-6.390 0.341 -4.546
-9.478 1.074 -8.154
0.000 0.000 0.000
-6.054 2.988 -4.306
-3.192 0.572 -3.794
-5.589 -1.854 -5.426
```

space group	I-42d
energy relative to the elements	518.8	meV/atom
polymorph energy (0 for the lowest one)	408.8	meV/atom
M_tot	0.0	Bohr magnetons per cell

=====

2.
A geometry-optimized TaTi2V structure. Source: Alexandria via LeMat-Bulk, functional GGA-PBE.

POSCAR file:
```
TaTi2V
1.0
-0.944 0.673 -4.395
2.849 -1.525 -3.196
-1.202 -3.507 -2.629
V Ti Ta
1 2 1
Cartesian
0.000 0.000 0.000
0.176 -1.090 -2.555
0.527 -3.269 -7.665
0.352 -2.179 -5.110
```

space group	Fm-3m
energy relative to the elements	135.2	meV/atom
polymorph energy (0 for the lowest one)	25.2	meV/atom
M_tot	1.8	Bohr magnetons per cell